PrY2Er5Tm: optimized geometry, PBE.

As for the crystal system: orthorhombic. The calculation puts the energy of formation from the pure elements at 0.16 eV per atom. The total magnetization is 0.00 μB/atom. The density of states at the Fermi level comes out at 14.75 states/eV/f.u.

The structure belongs to space group Cmc2_1 (No. 36); the cell edges are 5.597, 19.656 and 10.539 Å and the angles 90.00°, 90.00° and 90.00°. The distinct sites, in fractional coordinates, are Pr at (0.000, 0.083, 0.000), Y at (0.000, 0.387, 0.865), Y at (0.000, 0.389, 0.279), Er at (0.000, 0.021, 0.283), Er at (0.000, 0.113, 0.567), Er at (0.000, 0.202, 0.255), Er at (0.000, 0.218, 0.859), Er at (0.000, 0.481, 0.570) and Tm at (0.000, 0.299, 0.558).

=====

Np2Ga12Ni: optimized geometry, PBE.

As for the crystal system: tetragonal. The calculation puts the energy of formation from the pure elements at -0.17 eV per atom. The total magnetization is 0.55 μB/atom. The density of states at the Fermi level comes out at 21.93 states/eV/f.u.

The structure belongs to space group P4/nbm (No. 125, origin choice 2); the cell edges are 6.006, 6.006 and 15.401 Å and the angles 90.00°, 90.00° and 90.00°. The distinct sites, in fractional coordinates, are Np at (0.250, 0.750, 0.240), Ga at (0.000, 0.000, 0.085), Ga at (0.080, 0.580, 0.429), Ga at (0.250, 0.250, 0.185), Ga at (0.250, 0.250, 0.342) and Ni at (0.250, 0.750, 0.000).

=====

Tm2SnS5: optimized geometry, PBE.

As for the crystal system: orthorhombic. The electronic total energy is -5.53 eV/atom. The total magnetization is 0.00 μB/atom. The density of states at the Fermi level comes out at 0.04 states/eV/f.u.

The structure belongs to space group Cmcm (No. 63); the cell edges are 5.204, 13.116 and 12.762 Å and the angles 90.00°, 90.00° and 90.00°. The distinct sites, in fractional coordinates, are Tm at (0.000, 0.152, 0.066), Sn at (0.000, 0.176, 0.750), S at (0.000, 0.045, 0.610), S at (0.000, 0.267, 0.250) and S at (0.000, 0.304, 0.589).

=====

Cr5Br: optimized geometry, PBE.

As for the crystal system: orthorhombic. The calculation puts the energy relative to the lowest polymorph listed for this composition at 88 meV per atom. The total magnetization is 0.17 μB/atom. The density of states at the Fermi level comes out at 5.07 states/eV/f.u.

The structure belongs to space group Cmmm (No. 65); the cell edges are 4.111, 8.821 and 4.108 Å and the angles 90.00°, 90.00° and 90.00°. The distinct sites, in fractional coordinates, are Cr at (0.000, 0.000, 0.000), Cr at (0.000, 0.163, 0.500), Cr at (0.000, 0.326, 0.000) and Br at (0.000, 0.500, 0.500).

=====

RbMnNb3: optimized geometry, PBE.

As for the crystal system: cubic. The calculation puts the energy relative to the lowest polymorph listed for this composition at 0 meV per atom. The calculation puts the energy of formation from the pure elements at 1.26 eV per atom. The total magnetization is 0.12 μB/atom. The density of states at the Fermi level comes out at 5.41 states/eV/f.u.

The structure belongs to space group Pm-3m (No. 221); the cell edges are 4.830, 4.830 and 4.830 Å and the angles 90.00°, 90.00° and 90.00°. The distinct sites, in fractional coordinates, are Rb at (0.000, 0.000, 0.000), Mn at (0.500, 0.500, 0.500) and Nb at (0.000, 0.500, 0.500).

=====

ZrIn2C2: optimized geometry, PBE.

As for the crystal system: tetragonal. The calculation puts the energy relative to the lowest polymorph listed for this composition at 45 meV per atom. The calculation puts the energy of formation from the pure elements at 0.84 eV per atom. The total magnetization is 0.00 μB/atom. The density of states at the Fermi level comes out at 2.32 states/eV/f.u.

The structure belongs to space group P4/mbm (No. 127); the cell edges are 6.582, 6.582 and 3.649 Å and the angles 90.00°, 90.00° and 90.00°. The distinct sites, in fractional coordinates, are Zr at (0.000, 0.000, 0.000), In at (0.151, 0.349, 0.500) and C at (0.189, 0.689, 0.000).

=====

CsSr3Pd: optimized geometry, PBE.

As for the crystal system: monoclinic. The calculation puts the energy relative to the lowest polymorph listed for this composition at 234 meV per atom. The calculation puts the energy of formation from the pure elements at -0.01 eV per atom. The total magnetization is 0.00 μB/atom. The density of states at the Fermi level comes out at 3.69 states/eV/f.u.

The structure belongs to space group P2_1/m (No. 11); the cell edges are 6.157, 8.446 and 11.422 Å and the angles 90.00°, 90.05° and 90.00°. The distinct sites, in fractional coordinates, are Cs at (0.249, 0.250, 0.405), Sr at (0.250, 0.001, 0.886), Sr at (0.251, 0.750, 0.253) and Pd at (0.249, 0.250, 0.708).

=====

MgBrCl: optimized geometry, PBE.

As for the crystal system: cubic. The calculation puts the energy relative to the lowest polymorph listed for this composition at 365 meV per atom. The total magnetization is 0.00 μB/atom. The density of states at the Fermi level comes out at 0.00 states/eV/f.u.

The structure belongs to space group F-43m (No. 216); the cell edges are 6.610, 6.610 and 6.610 Å and the angles 90.00°, 90.00° and 90.00°. The distinct sites, in fractional coordinates, are Mg at (0.000, 0.000, 0.000), Br at (0.250, 0.250, 0.750) and Cl at (0.250, 0.250, 0.250).

=====

TbPr3Co: optimized geometry, PBE.

As for the crystal system: monoclinic. The calculation puts the energy relative to the lowest polymorph listed for this composition at 0 meV per atom. The calculation puts the energy of formation from the pure elements at 0.06 eV per atom. The total magnetization is 0.00 μB/atom. The density of states at the Fermi level comes out at 6.10 states/eV/f.u.

The structure belongs to space group C2/m (No. 12); the cell edges are 8.642, 11.486 and 6.783 Å and the angles 90.00°, 113.45° and 90.00°. The distinct sites, in fractional coordinates, are Tb at (0.001, 0.000, 0.244), Pr at (0.104, 0.500, 0.295), Pr at (0.210, 0.276, 0.741) and Co at (0.230, 0.500, 0.879).

=====

Th6OsC3S2: optimized geometry, PBE.

As for the crystal system: monoclinic. The electronic total energy is -8.47 eV/atom. The total magnetization is 0.00 μB/atom. The density of states at the Fermi level comes out at 5.77 states/eV/f.u.

The structure belongs to space group C2/m (No. 12); the cell edges are 17.283, 3.875 and 8.056 Å and the angles 90.00°, 105.09° and 90.00°. The distinct sites, in fractional coordinates, are Th at (0.006, 0.000, 0.238), Th at (0.159, 0.500, 0.105), Th at (0.171, 0.500, 0.563), Os at (0.000, 0.500, 0.500), C at (0.000, 0.500, 0.000), C at (0.169, 0.000, 0.329) and S at (0.169, 0.000, 0.840).

=====

ZnIrW2: optimized geometry, PBE.

As for the crystal system: orthorhombic. The calculation puts the energy of formation from the pure elements at 0.09 eV per atom. The total magnetization is 0.00 μB/atom. The density of states at the Fermi level comes out at 2.66 states/eV/f.u.

The structure belongs to space group Cmmm (No. 65); the cell edges are 5.337, 8.310 and 2.738 Å and the angles 90.00°, 90.00° and 90.00°. The distinct sites, in fractional coordinates, are Zn at (0.000, 0.000, 0.000), Ir at (0.000, 0.500, 0.000) and W at (0.250, 0.250, 0.500).